! MnSi4 | the Alexandria database | GGA-PBE | optimized geometry; values from VASP
! total magnetization: 3.05 μB per cell
! energy above the most stable polymorph in this dataset: 318 meV per atom
! space group: I4/mmm, No. 139
! uncorrected formation energy: 0.42 eV/atom
&SYSTEM
  ibrav = 0, nat = 5, ntyp = 2
/
ATOMIC_SPECIES
Mn 54.94 Mn.upf
Si 28.09 Si.upf
CELL_PARAMETERS angstrom
5.341 3.796 2.922
1.215 5.856 3.962
-3.431 -6.126 -1.474
ATOMIC_POSITIONS angstrom
Mn 0.000 0.000 0.000
Si 2.594 1.248 2.445
Si 0.531 2.278 2.965
Si 3.871 5.699 4.065
Si 2.684 3.952 2.819